Record 1
# MnTeSeI2 PBE relaxed
# E_form (uncorrected)	0.6244	eV per atom
# distance to the lowest polymorph of the same formula	35	meV per atom
data_MnTeSeI2
_cell_length_a 5.689
_cell_length_b 5.689
_cell_length_c 5.642
_cell_angle_alpha 90.00
_cell_angle_beta 90.00
_cell_angle_gamma 90.00
_space_group_name_H-M_alt 'P 1'
_space_group_IT_number 1
_space_group_name_Hall 'P 1'
loop_
_atom_site_label
_atom_site_type_symbol
_atom_site_fract_x
_atom_site_fract_y
_atom_site_fract_z
_atom_site_occupancy
Mn1 Mn 0.000 0.000 0.000 1
Te1 Te 0.500 0.500 0.000 1
Se1 Se 0.500 0.500 0.500 1
I1 I 0.000 0.500 0.500 1
I2 I 0.500 0.000 0.500 1

Record 2
# Ce2YRuN4 PBE relaxed
# E_form (uncorrected)	-1.0379	eV per atom
data_Ce2YRuN4
_cell_length_a 6.136
_cell_length_b 6.136
_cell_length_c 11.668
_cell_angle_alpha 90.00
_cell_angle_beta 90.00
_cell_angle_gamma 147.89
_space_group_name_H-M_alt 'P 1'
_space_group_IT_number 1
_space_group_name_Hall 'P 1'
loop_
_atom_site_label
_atom_site_type_symbol
_atom_site_fract_x
_atom_site_fract_y
_atom_site_fract_z
_atom_site_occupancy
Ce1 Ce 0.131 0.869 0.552 1
Ce2 Ce 0.131 0.869 0.948 1
Ce3 Ce 0.869 0.131 0.052 1
Ce4 Ce 0.869 0.131 0.448 1
Y1 Y 0.384 0.616 0.750 1
Y2 Y 0.616 0.384 0.250 1
Ru1 Ru 0.356 0.644 0.250 1
Ru2 Ru 0.644 0.356 0.750 1
N1 N 0.037 0.963 0.750 1
N2 N 0.227 0.773 0.128 1
N3 N 0.227 0.773 0.372 1
N4 N 0.500 0.500 0.000 1
N5 N 0.500 0.500 0.500 1
N6 N 0.773 0.227 0.628 1
N7 N 0.773 0.227 0.872 1
N8 N 0.963 0.037 0.250 1

Record 3
# CaAlCr2S6 PBE relaxed
# E_form (uncorrected)	-0.9070	eV per atom
data_CaAlCr2S6
_cell_length_a 6.610
_cell_length_b 6.610
_cell_length_c 6.610
_cell_angle_alpha 56.60
_cell_angle_beta 56.60
_cell_angle_gamma 56.60
_space_group_name_H-M_alt 'P 1'
_space_group_IT_number 1
_space_group_name_Hall 'P 1'
loop_
_atom_site_label
_atom_site_type_symbol
_atom_site_fract_x
_atom_site_fract_y
_atom_site_fract_z
_atom_site_occupancy
Ca1 Ca 0.000 0.000 0.000 1
Al1 Al 0.485 0.485 0.485 1
Cr1 Cr 0.288 0.288 0.288 1
Cr2 Cr 0.796 0.796 0.796 1
S1 S 0.077 0.648 0.449 1
S2 S 0.200 0.550 0.897 1
S3 S 0.449 0.077 0.648 1
S4 S 0.550 0.897 0.200 1
S5 S 0.648 0.449 0.077 1
S6 S 0.897 0.200 0.550 1

Record 4
# AsPbSe2N PBE relaxed
# E_form (uncorrected)	1.8017	eV per atom
# distance to the lowest polymorph of the same formula	1237	meV per atom
data_AsPbSe2N
_cell_length_a 6.017
_cell_length_b 6.017
_cell_length_c 6.036
_cell_angle_alpha 90.00
_cell_angle_beta 90.00
_cell_angle_gamma 90.00
_space_group_name_H-M_alt 'P 1'
_space_group_IT_number 1
_space_group_name_Hall 'P 1'
loop_
_atom_site_label
_atom_site_type_symbol
_atom_site_fract_x
_atom_site_fract_y
_atom_site_fract_z
_atom_site_occupancy
As1 As 0.000 0.000 0.000 1
Pb1 Pb 0.000 0.000 0.500 1
Se1 Se 0.000 0.500 0.500 1
Se2 Se 0.500 0.000 0.500 1
N1 N 0.500 0.500 0.000 1

Record 5
# SiSb2Se PBE relaxed
# E_form (uncorrected)	0.1434	eV per atom
# distance to the lowest polymorph of the same formula	63	meV per atom
data_SiSb2Se
_cell_length_a 8.802
_cell_length_b 8.802
_cell_length_c 8.802
_cell_angle_alpha 158.24
_cell_angle_beta 152.48
_cell_angle_gamma 35.35
_space_group_name_H-M_alt 'P 1'
_space_group_IT_number 1
_space_group_name_Hall 'P 1'
loop_
_atom_site_label
_atom_site_type_symbol
_atom_site_fract_x
_atom_site_fract_y
_atom_site_fract_z
_atom_site_occupancy
Si1 Si 0.000 0.000 0.000 1
Sb1 Sb 0.393 0.393 0.000 1
Sb2 Sb 0.771 0.271 0.500 1
Se1 Se 0.098 0.598 0.500 1

Record 6
# PaFeB2 PBE relaxed
# formation enthalpy at 0 K	-0.31	eV/atom
# distance to the lowest polymorph of the same formula	15	meV per atom
data_PaFeB2
_cell_length_a 4.983
_cell_length_b 4.983
_cell_length_c 4.983
_cell_angle_alpha 41.09
_cell_angle_beta 41.09
_cell_angle_gamma 41.09
_space_group_name_H-M_alt 'P 1'
_space_group_IT_number 1
_space_group_name_Hall 'P 1'
loop_
_atom_site_label
_atom_site_type_symbol
_atom_site_fract_x
_atom_site_fract_y
_atom_site_fract_z
_atom_site_occupancy
Pa1 Pa 0.000 0.000 0.000 1
Fe1 Fe 0.500 0.500 0.500 1
B1 B 0.197 0.197 0.197 1
B2 B 0.803 0.803 0.803 1

Record 7
# HoCoNiGe2 PBE relaxed
# formation enthalpy at 0 K	-0.63	eV/atom
data_HoCoNiGe2
_cell_length_a 5.745
_cell_length_b 5.745
_cell_length_c 5.745
_cell_angle_alpha 139.21
_cell_angle_beta 139.21
_cell_angle_gamma 59.06
_space_group_name_H-M_alt 'P 1'
_space_group_IT_number 1
_space_group_name_Hall 'P 1'
loop_
_atom_site_label
_atom_site_type_symbol
_atom_site_fract_x
_atom_site_fract_y
_atom_site_fract_z
_atom_site_occupancy
Ho1 Ho 0.000 0.000 0.000 1
Co1 Co 0.750 0.250 0.500 1
Ni1 Ni 0.250 0.750 0.500 1
Ge1 Ge 0.373 0.373 0.000 1
Ge2 Ge 0.627 0.627 0.000 1

Record 8
# LiCoGe2 PBE relaxed
# formation enthalpy at 0 K	-0.19	eV/atom
# distance to the lowest polymorph of the same formula	3	meV per atom
data_LiCoGe2
_cell_length_a 5.167
_cell_length_b 5.167
_cell_length_c 5.167
_cell_angle_alpha 44.30
_cell_angle_beta 44.30
_cell_angle_gamma 44.30
_space_group_name_H-M_alt 'P 1'
_space_group_IT_number 1
_space_group_name_Hall 'P 1'
loop_
_atom_site_label
_atom_site_type_symbol
_atom_site_fract_x
_atom_site_fract_y
_atom_site_fract_z
_atom_site_occupancy
Li1 Li 0.000 0.000 0.000 1
Co1 Co 0.187 0.187 0.187 1
Ge1 Ge 0.574 0.574 0.574 1
Ge2 Ge 0.784 0.784 0.784 1

Record 9
# CrNi5Ir4 PBE relaxed
# formation enthalpy at 0 K	0.16	eV/atom
data_CrNi5Ir4
_cell_length_a 4.758
_cell_length_b 4.758
_cell_length_c 7.912
_cell_angle_alpha 90.25
_cell_angle_beta 90.25
_cell_angle_gamma 48.23
_space_group_name_H-M_alt 'P 1'
_space_group_IT_number 1
_space_group_name_Hall 'P 1'
loop_
_atom_site_label
_atom_site_type_symbol
_atom_site_fract_x
_atom_site_fract_y
_atom_site_fract_z
_atom_site_occupancy
Cr1 Cr 0.000 0.000 0.000 1
Ni1 Ni 0.000 0.000 0.500 1
Ni2 Ni 0.314 0.314 0.958 1
Ni3 Ni 0.326 0.326 0.533 1
Ni4 Ni 0.674 0.674 0.467 1
Ni5 Ni 0.686 0.686 0.042 1
Ir1 Ir 0.174 0.174 0.252 1
Ir2 Ir 0.466 0.466 0.244 1
Ir3 Ir 0.534 0.534 0.756 1
Ir4 Ir 0.826 0.826 0.748 1

Record 10
# Ca2YNpAs4 PBE relaxed
# formation enthalpy at 0 K	-1.10	eV/atom
data_Ca2YNpAs4
_cell_length_a 7.186
_cell_length_b 4.188
_cell_length_c 7.242
_cell_angle_alpha 90.00
_cell_angle_beta 109.24
_cell_angle_gamma 90.00
_space_group_name_H-M_alt 'P 1'
_space_group_IT_number 1
_space_group_name_Hall 'P 1'
loop_
_atom_site_label
_atom_site_type_symbol
_atom_site_fract_x
_atom_site_fract_y
_atom_site_fract_z
_atom_site_occupancy
Ca1 Ca 0.000 0.000 0.000 1
Ca2 Ca 0.500 0.500 0.000 1
Y1 Y 0.000 0.500 0.500 1
Np1 Np 0.500 0.000 0.500 1
As1 As 0.255 0.000 0.732 1
As2 As 0.264 0.500 0.271 1
As3 As 0.736 0.500 0.729 1
As4 As 0.745 0.000 0.268 1

Record 11
# Ba5Te4O PBE relaxed
# E_form (uncorrected)	-1.8237	eV per atom
data_Ba5Te4O
_cell_length_a 8.351
_cell_length_b 8.351
_cell_length_c 8.351
_cell_angle_alpha 100.24
_cell_angle_beta 100.24
_cell_angle_gamma 130.12
_space_group_name_H-M_alt 'P 1'
_space_group_IT_number 1
_space_group_name_Hall 'P 1'
loop_
_atom_site_label
_atom_site_type_symbol
_atom_site_fract_x
_atom_site_fract_y
_atom_site_fract_z
_atom_site_occupancy
Ba1 Ba 0.000 0.000 0.000 1
Ba2 Ba 0.153 0.331 0.644 1
Ba3 Ba 0.331 0.687 0.178 1
Ba4 Ba 0.509 0.153 0.822 1
Ba5 Ba 0.687 0.509 0.356 1
Te1 Te 0.007 0.614 0.789 1
Te2 Te 0.218 0.007 0.393 1
Te3 Te 0.614 0.825 0.607 1
Te4 Te 0.825 0.218 0.211 1
O1 O 0.355 0.355 0.000 1

Record 12
# SrAlCu2Te4 PBE relaxed
# E_form (uncorrected)	-0.5078	eV per atom
data_SrAlCu2Te4
_cell_length_a 6.754
_cell_length_b 6.754
_cell_length_c 6.754
_cell_angle_alpha 114.83
_cell_angle_beta 114.79
_cell_angle_gamma 99.26
_space_group_name_H-M_alt 'P 1'
_space_group_IT_number 1
_space_group_name_Hall 'P 1'
loop_
_atom_site_label
_atom_site_type_symbol
_atom_site_fract_x
_atom_site_fract_y
_atom_site_fract_z
_atom_site_occupancy
Sr1 Sr 0.000 0.000 0.000 1
Al1 Al 0.500 0.500 0.000 1
Cu1 Cu 0.252 0.752 0.500 1
Cu2 Cu 0.748 0.248 0.500 1
Te1 Te 0.117 0.117 0.584 1
Te2 Te 0.467 0.883 0.000 1
Te3 Te 0.533 0.533 0.416 1
Te4 Te 0.883 0.467 0.000 1

- Which formula does entry 9 have?
  CrNi5Ir4